No. 1
LaTc2Mo, relaxed, DFT GGA-PBE; SG = Cm, No. 8; Fermi-level density of states = 3.9 states/eV/cell
1.0
4.8852 -1.5813 0.0000
4.8852 1.5813 0.0000
-1.4817 0.0000 5.2154
La Tc Mo
1 2 1
Direct
0.0000 0.0000 0.0000 La
0.4929 0.4929 0.4873 Tc
0.7743 0.7743 0.3394 Tc
0.2079 0.2079 0.6510 Mo

***

No. 2
LaTcMo2, relaxed, DFT GGA-PBE; SG = I4_1/amd, No. 141; Fermi-level density of states = 8.8 states/eV/cell
1.0
-2.4406 2.4406 8.6209
2.4406 -2.4406 8.6209
2.4406 2.4406 -8.6209
La Tc Mo
2 2 4
Direct
0.3750 0.6250 0.7500 La
0.6250 0.3750 0.2500 La
0.1250 0.8750 0.2500 Tc
0.8750 0.1250 0.7500 Tc
0.0000 0.0000 0.0000 Mo
0.0000 0.0000 0.5000 Mo
0.0000 0.5000 0.0000 Mo
0.5000 0.0000 0.5000 Mo

***

Record order is preserved below.
ΔE_f: 0.398; 0.926 eV/atom
Record order is preserved below.
Energy: -0.321; -0.305 Ha/atom